Entry 1:
First-principles (PBE) data for a relaxed structure of ZnW, as listed in Alexandria via LeMat-Bulk.

## Properties
- Calculated formation energy: 0.185 eV per atom
- Calculated total energy: -6.928 eV/atom
- Polymorph energy (0 for the lowest one): 23 meV per atom
- Density: 13.58 Mg/m³
- Total moment: 0.00 μB/atom

a = 2.741 Å, b = 4.337 Å, c = 5.191 Å
α = 90.00°, β = 98.85°, γ = 90.00°
Positions (direct):
1 Zn 0.014 0.250 0.122
2 Zn 0.986 0.750 0.878
3 W 0.396 0.250 0.627
4 W 0.604 0.750 0.373


Entry 2:
First-principles (PBE) data for a relaxed structure of NbSb2TeAs, as listed in Alexandria via LeMat-Bulk.

## Properties
- Calculated total energy: -4.629 eV/atom
- Polymorph energy (0 for the lowest one): 0 meV per atom
- Raw formation energy: 0.593 eV/atom
- Density: 5.83 Mg/m³
- Total moment: 0.25 μB/atom

a = 5.396 Å, b = 5.396 Å, c = 5.271 Å
α = 90.00°, β = 90.00°, γ = 90.00°
Positions (direct):
1 Nb 0.000 0.000 0.000
2 Sb 0.000 0.500 0.000
3 Sb 0.500 0.000 0.000
4 Te 0.000 0.000 0.500
5 As 0.500 0.500 0.500


Entry 3:
First-principles (PBE) data for a relaxed structure of Mn3MoI, as listed in Alexandria via LeMat-Bulk.

## Properties
- Calculated total energy: -6.697 eV/atom
- Polymorph energy (0 for the lowest one): 0 meV per atom
- Raw formation energy: 1.281 eV/atom
- Density: 5.51 Mg/m³
- Total moment: 2.03 μB/atom

a = 4.888 Å, b = 4.888 Å, c = 4.888 Å
α = 90.00°, β = 90.00°, γ = 90.00°
Positions (direct):
1 Mn 0.000 0.000 0.500
2 Mn 0.000 0.500 0.000
3 Mn 0.500 0.000 0.000
4 Mo 0.000 0.000 0.000
5 I 0.500 0.500 0.500